# 1
SbP2Se: optimized geometry, PBE.

ΔE_f (raw) = 293 meV/atom
Size of the total moment = 0.0 μB/f.u.
E above lowest polymorph = 15.25 kJ/mol of atoms
VASP energy = -4.313 eV per atom
Mass density = 5.15 g cm⁻³

Geometry as CIF:
```
data_SbP2Se
_chemical_formula_sum 'Sb2 P4 Se2'
_cell_length_a 5.700
_cell_length_b 7.703
_cell_length_c 4.789
_cell_angle_alpha 90.00
_cell_angle_beta 126.35
_cell_angle_gamma 90.00
_symmetry_space_group_name_H-M 'C 1 2/m 1'
_symmetry_Int_Tables_number 12
loop_
_symmetry_equiv_pos_as_xyz
'x,y,z'
'-x,-y,-z'
'-x,y,-z'
'x,-y,z'
'x+1/2,y+1/2,z'
'-x+1/2,-y+1/2,-z'
'-x+1/2,y+1/2,-z'
'x+1/2,-y+1/2,z'
loop_
_atom_site_label
_atom_site_type_symbol
_atom_site_fract_x
_atom_site_fract_y
_atom_site_fract_z
Sb1 Sb 0.000 0.000 0.000
P1 P 0.250 0.250 0.500
Se1 Se 0.000 0.500 0.000
```

# 2
SbPSe2: optimized geometry, PBE.

ΔE_f (raw) = 449 meV/atom
Size of the total moment = 0.0 μB/f.u.
E above lowest polymorph = 43.18 kJ/mol of atoms
VASP energy = -3.676 eV per atom
Mass density = 6.25 g cm⁻³

Geometry as CIF:
```
data_SbPSe2
_chemical_formula_sum 'Sb1 P1 Se2'
_cell_length_a 3.447
_cell_length_b 3.447
_cell_length_c 6.952
_cell_angle_alpha 90.00
_cell_angle_beta 90.00
_cell_angle_gamma 90.00
_symmetry_space_group_name_H-M 'P 4/m m m'
_symmetry_Int_Tables_number 123
_symmetry_space_group_name_Hall '-P 4 2'
loop_
_atom_site_label
_atom_site_type_symbol
_atom_site_fract_x
_atom_site_fract_y
_atom_site_fract_z
Sb1 Sb 0.000 0.000 0.000
P1 P 0.000 0.000 0.500
Se1 Se 0.500 0.500 0.274
```

# 3
SbP3Se9: optimized geometry, PBE.

ΔE_f (raw) = -19 meV/atom
Size of the total moment = 0.0 μB/f.u.
VASP energy = -3.997 eV per atom
Mass density = 3.48 g cm⁻³

Geometry as CIF:
```
data_SbP3Se9
_chemical_formula_sum 'Sb4 P12 Se36'
_cell_length_a 19.918
_cell_length_b 9.076
_cell_length_c 12.421
_cell_angle_alpha 90.00
_cell_angle_beta 128.24
_cell_angle_gamma 90.00
_symmetry_space_group_name_H-M 'C 1 c 1'
_symmetry_Int_Tables_number 9
loop_
_symmetry_equiv_pos_as_xyz
'x,y,z'
'x,-y,z+1/2'
'x+1/2,y+1/2,z'
'x+1/2,-y+1/2,z+1/2'
loop_
_atom_site_label
_atom_site_type_symbol
_atom_site_fract_x
_atom_site_fract_y
_atom_site_fract_z
Sb1 Sb 0.000 0.136 0.000
P1 P 0.226 0.075 0.838
P2 P 0.348 0.350 0.820
P3 P 0.413 0.116 0.686
Se1 Se 0.007 0.119 0.613
Se2 Se 0.023 0.325 0.184
Se3 Se 0.115 0.069 0.850
Se4 Se 0.214 0.091 0.205
Se5 Se 0.222 0.321 0.787
Se6 Se 0.321 0.311 0.611
Se7 Se 0.330 0.400 0.304
Se8 Se 0.345 0.098 0.063
Se9 Se 0.472 0.033 0.886
```

# 4
SbPSe2: optimized geometry, PBE.

ΔE_f (raw) = 221 meV/atom
Size of the total moment = 0.0 μB/f.u.
E above lowest polymorph = 21.22 kJ/mol of atoms
VASP energy = -3.904 eV per atom
Mass density = 4.93 g cm⁻³

Geometry as CIF:
```
data_SbPSe2
_chemical_formula_sum 'Sb1 P1 Se2'
_cell_length_a 3.439
_cell_length_b 3.439
_cell_length_c 8.841
_cell_angle_alpha 90.00
_cell_angle_beta 90.00
_cell_angle_gamma 90.00
_symmetry_space_group_name_H-M 'P 4 m m'
_symmetry_Int_Tables_number 99
loop_
_symmetry_equiv_pos_as_xyz
'x,y,z'
'-y,x,z'
'-x,-y,z'
'y,-x,z'
'-x,y,z'
'y,x,z'
'x,-y,z'
'-y,-x,z'
loop_
_atom_site_label
_atom_site_type_symbol
_atom_site_fract_x
_atom_site_fract_y
_atom_site_fract_z
Sb1 Sb 0.000 0.000 0.000
P1 P 0.500 0.500 0.683
Se1 Se 0.000 0.000 0.582
Se2 Se 0.500 0.500 0.160
```

# 5
SbPSe3: optimized geometry, PBE.

ΔE_f (raw) = -94 meV/atom
Size of the total moment = 0.0 μB/f.u.
E above lowest polymorph = 0.00 kJ/mol of atoms
VASP energy = -4.092 eV per atom
Mass density = 4.73 g cm⁻³

Geometry as CIF:
```
data_SbPSe3
_chemical_formula_sum 'Sb4 P4 Se12'
_cell_length_a 9.394
_cell_length_b 3.804
_cell_length_c 15.307
_cell_angle_alpha 90.00
_cell_angle_beta 90.00
_cell_angle_gamma 90.00
_symmetry_space_group_name_H-M 'P n m a'
_symmetry_Int_Tables_number 62
loop_
_symmetry_equiv_pos_as_xyz
'x,y,z'
'-x,-y,-z'
'-x+1/2,-y,z+1/2'
'x+1/2,y,-z+1/2'
'x+1/2,-y+1/2,-z+1/2'
'-x+1/2,y+1/2,z+1/2'
'-x,y+1/2,-z'
'x,-y+1/2,z'
loop_
_atom_site_label
_atom_site_type_symbol
_atom_site_fract_x
_atom_site_fract_y
_atom_site_fract_z
Sb1 Sb 0.046 0.250 0.130
P1 P 0.138 0.250 0.540
Se1 Se 0.018 0.250 0.401
Se2 Se 0.182 0.250 0.978
Se3 Se 0.211 0.750 0.200
```

# 6
Sb2PSe: optimized geometry, PBE.

ΔE_f (raw) = 34 meV/atom
Size of the total moment = 0.0 μB/f.u.
E above lowest polymorph = 1.23 kJ/mol of atoms
VASP energy = -4.250 eV per atom
Mass density = 5.59 g cm⁻³

Geometry as CIF:
```
data_Sb2PSe
_chemical_formula_sum 'Sb4 P2 Se2'
_cell_length_a 11.866
_cell_length_b 3.758
_cell_length_c 4.718
_cell_angle_alpha 90.00
_cell_angle_beta 93.20
_cell_angle_gamma 90.00
_symmetry_space_group_name_H-M 'C 1 m 1'
_symmetry_Int_Tables_number 8
loop_
_symmetry_equiv_pos_as_xyz
'x,y,z'
'x,-y,z'
'x+1/2,y+1/2,z'
'x+1/2,-y+1/2,z'
loop_
_atom_site_label
_atom_site_type_symbol
_atom_site_fract_x
_atom_site_fract_y
_atom_site_fract_z
Sb1 Sb 0.000 0.000 0.000
Sb2 Sb 0.240 0.500 0.617
P1 P 0.022 0.500 0.626
Se1 Se 0.230 0.000 0.139
```

# 7
Sm6Sb3PSe2: optimized geometry, PBE.

ΔE_f (raw) = -1468 meV/atom
Size of the total moment = 0.0 μB/f.u.
VASP energy = -5.890 eV per atom
Mass density = 7.08 g cm⁻³

Geometry as CIF:
```
data_Sm6Sb3PSe2
_chemical_formula_sum 'Sm12 Sb6 P2 Se4'
_cell_length_a 18.842
_cell_length_b 4.310
_cell_length_c 8.642
_cell_angle_alpha 90.00
_cell_angle_beta 103.37
_cell_angle_gamma 90.00
_symmetry_space_group_name_H-M 'C 1 2/m 1'
_symmetry_Int_Tables_number 12
loop_
_symmetry_equiv_pos_as_xyz
'x,y,z'
'-x,-y,-z'
'-x,y,-z'
'x,-y,z'
'x+1/2,y+1/2,z'
'-x+1/2,-y+1/2,-z'
'-x+1/2,y+1/2,-z'
'x+1/2,-y+1/2,z'
loop_
_atom_site_label
_atom_site_type_symbol
_atom_site_fract_x
_atom_site_fract_y
_atom_site_fract_z
Sm1 Sm 0.001 0.000 0.232
Sm2 Sm 0.158 0.500 0.085
Sm3 Sm 0.167 0.500 0.579
Sb1 Sb 0.000 0.500 0.500
Sb2 Sb 0.170 0.000 0.835
P1 P 0.000 0.500 0.000
Se1 Se 0.166 0.000 0.335
```

# 8
Sm4Sb2PSe: optimized geometry, PBE.

ΔE_f (raw) = -1447 meV/atom
Size of the total moment = 0.0 μB/f.u.
VASP energy = -5.949 eV per atom
Mass density = 7.01 g cm⁻³

Geometry as CIF:
```
data_Sm4Sb2PSe
_chemical_formula_sum 'Sm4 Sb2 P1 Se1'
_cell_length_a 7.449
_cell_length_b 4.297
_cell_length_c 7.481
_cell_angle_alpha 90.00
_cell_angle_beta 109.25
_cell_angle_gamma 90.00
_symmetry_space_group_name_H-M 'P 1 2/m 1'
_symmetry_Int_Tables_number 10
loop_
_symmetry_equiv_pos_as_xyz
'x,y,z'
'-x,-y,-z'
'-x,y,-z'
'x,-y,z'
loop_
_atom_site_label
_atom_site_type_symbol
_atom_site_fract_x
_atom_site_fract_y
_atom_site_fract_z
Sm1 Sm 0.236 0.000 0.230
Sm2 Sm 0.247 0.500 0.765
Sb1 Sb 0.000 0.000 0.500
Sb2 Sb 0.500 0.500 0.500
P1 P 0.000 0.500 0.000
Se1 Se 0.500 0.000 0.000
```

# 9
Sr6Sb2PSe: optimized geometry, PBE.

ΔE_f (raw) = -1166 meV/atom
Size of the total moment = 1.0 μB/f.u.
VASP energy = -3.889 eV per atom
Mass density = 3.95 g cm⁻³

Geometry as CIF:
```
data_Sr6Sb2PSe
_chemical_formula_sum 'Sr12 Sb4 P2 Se2'
_cell_length_a 7.676
_cell_length_b 8.619
_cell_length_c 13.538
_cell_angle_alpha 90.00
_cell_angle_beta 124.28
_cell_angle_gamma 90.00
_symmetry_space_group_name_H-M 'P 1 21/c 1'
_symmetry_Int_Tables_number 14
loop_
_symmetry_equiv_pos_as_xyz
'x,y,z'
'-x,-y,-z'
'-x,y+1/2,-z+1/2'
'x,-y+1/2,z+1/2'
loop_
_atom_site_label
_atom_site_type_symbol
_atom_site_fract_x
_atom_site_fract_y
_atom_site_fract_z
Sr1 Sr 0.111 0.050 0.245
Sr2 Sr 0.239 0.696 0.065
Sr3 Sr 0.381 0.182 0.065
Sb1 Sb 0.288 0.095 0.748
P1 P 0.000 0.000 0.000
Se1 Se 0.500 0.000 0.500
```

# 10
SrSbP2Se8: optimized geometry, PBE.

ΔE_f (raw) = -343 meV/atom
Size of the total moment = 0.0 μB/f.u.
VASP energy = -4.052 eV per atom
Mass density = 4.52 g cm⁻³

Geometry as CIF:
```
data_SrSbP2Se8
_chemical_formula_sum 'Sr1 Sb1 P2 Se8'
_cell_length_a 6.3589
_cell_length_b 6.3589
_cell_length_c 9.4734
_cell_angle_alpha 90.00
_cell_angle_beta 90.00
_cell_angle_gamma 120.00
_symmetry_space_group_name_H-M 'P -3'
_symmetry_Int_Tables_number 147
loop_
_symmetry_equiv_pos_as_xyz
'x,y,z'
'-x,-y,-z'
'-y,x-y,z'
'y,-x+y,-z'
'-x+y,-x,z'
'x-y,x,-z'
loop_
_atom_site_label
_atom_site_type_symbol
_atom_site_fract_x
_atom_site_fract_y
_atom_site_fract_z
Sr1 Sr 0.0000 0.0000 0.0000
Sb1 Sb 0.0000 0.0000 0.5000
P1 P 0.3333 0.6667 0.7594
Se1 Se 0.0133 0.6731 0.3005
Se2 Se 0.3333 0.6667 0.9900
```

# 11
Tb4SbPSe2: optimized geometry, PBE.

ΔE_f (raw) = -1600 meV/atom
Size of the total moment = 0.0 μB/f.u.
VASP energy = -5.978 eV per atom
Mass density = 7.68 g cm⁻³

Geometry as CIF:
```
data_Tb4SbPSe2
_chemical_formula_sum 'Tb4 Sb1 P1 Se2'
_cell_length_a 7.181
_cell_length_b 4.151
_cell_length_c 7.279
_cell_angle_alpha 90.00
_cell_angle_beta 109.40
_cell_angle_gamma 90.00
_symmetry_space_group_name_H-M 'P 1 2/m 1'
_symmetry_Int_Tables_number 10
loop_
_symmetry_equiv_pos_as_xyz
'x,y,z'
'-x,-y,-z'
'-x,y,-z'
'x,-y,z'
loop_
_atom_site_label
_atom_site_type_symbol
_atom_site_fract_x
_atom_site_fract_y
_atom_site_fract_z
Tb1 Tb 0.237 0.000 0.230
Tb2 Tb 0.249 0.500 0.768
Sb1 Sb 0.000 0.000 0.500
P1 P 0.000 0.500 0.000
Se1 Se 0.500 0.000 0.000
Se2 Se 0.500 0.500 0.500
```

# 12
Tb6Sb3P2Se: optimized geometry, PBE.

ΔE_f (raw) = -1409 meV/atom
Size of the total moment = 0.0 μB/f.u.
VASP energy = -5.947 eV per atom
Mass density = 7.57 g cm⁻³

Geometry as CIF:
```
data_Tb6Sb3P2Se
_chemical_formula_sum 'Tb12 Sb6 P4 Se2'
_cell_length_a 18.458
_cell_length_b 4.208
_cell_length_c 8.497
_cell_angle_alpha 90.00
_cell_angle_beta 103.81
_cell_angle_gamma 90.00
_symmetry_space_group_name_H-M 'C 1 2/m 1'
_symmetry_Int_Tables_number 12
loop_
_symmetry_equiv_pos_as_xyz
'x,y,z'
'-x,-y,-z'
'-x,y,-z'
'x,-y,z'
'x+1/2,y+1/2,z'
'-x+1/2,-y+1/2,-z'
'-x+1/2,y+1/2,-z'
'x+1/2,-y+1/2,z'
loop_
_atom_site_label
_atom_site_type_symbol
_atom_site_fract_x
_atom_site_fract_y
_atom_site_fract_z
Tb1 Tb 0.008 0.000 0.249
Tb2 Tb 0.167 0.500 0.101
Tb3 Tb 0.173 0.500 0.570
Sb1 Sb 0.000 0.500 0.500
Sb2 Sb 0.164 0.000 0.833
P1 P 0.167 0.000 0.333
Se1 Se 0.000 0.500 0.000
```